## HfCuN2 (PBE)

Data for HfCuN2 after structural relaxation.

Summary:
* formation energy from raw total energies: -0.5013 eV/atom
* SG: No. 122
* density of states at the Fermi level: 0.934 states/eV per atom
* relative energy among the computed polymorphs: 0.099 eV per atom

The structure in POSCAR format:
```
HfCuN2
1.0
-3.199 3.006 1.285
-3.245 -2.704 -1.753
-3.652 -2.192 4.175
Hf Cu N
2 2 4
direct
0.000 0.000 0.000
0.750 0.250 0.500
0.500 0.500 0.000
0.250 0.750 0.500
0.620 0.125 0.250
0.130 0.625 0.250
0.375 0.380 0.750
0.875 0.870 0.750
```

## Hf4Cu2N (PBE)

Data for Hf4Cu2N after structural relaxation.

Summary:
* formation energy from raw total energies: -0.4699 eV/atom
* SG: No. 12
* density of states at the Fermi level: 0.840 states/eV per atom
* relative energy among the computed polymorphs: 0.000 eV per atom

The structure in POSCAR format:
```
Hf4Cu2N
1.0
-1.458 -1.815 -2.153
3.831 -4.114 0.874
-5.156 0.637 5.290
Hf Cu N
4 2 1
direct
0.917 0.247 0.833
0.083 0.753 0.167
0.607 0.256 0.214
0.393 0.744 0.786
0.743 0.805 0.486
0.257 0.195 0.514
0.000 0.000 0.000
```

## HfCuN2 (PBE)

Data for HfCuN2 after structural relaxation.

Summary:
* formation energy from raw total energies: -0.0686 eV/atom
* SG: No. 225
* density of states at the Fermi level: 0.894 states/eV per atom
* relative energy among the computed polymorphs: 0.532 eV per atom

The structure in POSCAR format:
```
HfCuN2
1.0
-3.839 -0.189 -0.174
-2.065 3.211 -0.483
-1.809 0.640 -3.335
Hf Cu N
1 1 2
direct
0.500 0.500 0.500
0.000 0.000 0.000
0.250 0.250 0.250
0.750 0.750 0.750
```